A geometry-optimized Hg2H2Ir structure, computed with PBE-GGA.

Unit cell a=5.716 b=5.716 c=4.250 alpha=90.00 beta=90.00 gamma=90.00
Atoms (fractional coordinates):
Hg 0.249 0.251 0.000
Hg 0.251 0.751 0.000
Hg 0.749 0.249 0.000
Hg 0.751 0.749 0.000
H 0.249 0.251 0.500
H 0.251 0.751 0.500
H 0.749 0.249 0.500
H 0.751 0.749 0.500
Ir 0.000 0.000 0.500
Ir 0.500 0.500 0.500

Calculated values
ρ, g/cm3: 14.2
VASP energy, eV/atom: -2.798
Space group: P4/mbm
Spin magnetization, μB per formula unit: 0.00